Record 1
# Tl4TeI2 PBE-GGA optimized geometry
data_Tl4TeI2
_chemical_formula_sum 'Tl16 Te4 I8'
_cell_length_a 10.8120
_cell_length_b 10.8120
_cell_length_c 10.4699
_cell_angle_alpha 90.00
_cell_angle_beta 90.00
_cell_angle_gamma 90.00
_symmetry_space_group_name_H-M 'I 41/a m d'
_symmetry_Int_Tables_number 141
loop_
_symmetry_equiv_pos_as_xyz
'x,y,z'
'-x,-y,-z'
'-y+1/4,x+3/4,z+1/4'
'y+1/4,-x+3/4,-z+1/4'
'-x+1/2,-y,z+1/2'
'x+1/2,y,-z+1/2'
'y+1/4,-x+1/4,z+3/4'
'-y+1/4,x+1/4,-z+3/4'
'x,-y,-z'
'-x,y,z'
'-y+1/4,-x+1/4,-z+3/4'
'y+1/4,x+1/4,z+3/4'
'-x+1/2,y,-z+1/2'
'x+1/2,-y,z+1/2'
'y+1/4,x+3/4,-z+1/4'
'-y+1/4,-x+3/4,z+1/4'
'x+1/2,y+1/2,z+1/2'
'-x+1/2,-y+1/2,-z+1/2'
'-y+3/4,x+1/4,z+3/4'
'y+3/4,-x+1/4,-z+3/4'
'-x,-y+1/2,z'
'x,y+1/2,-z'
'y+3/4,-x+3/4,z+1/4'
'-y+3/4,x+3/4,-z+1/4'
'x+1/2,-y+1/2,-z+1/2'
'-x+1/2,y+1/2,z+1/2'
'-y+3/4,-x+3/4,-z+1/4'
'y+3/4,x+3/4,z+1/4'
'-x,y+1/2,-z'
'x,-y+1/2,z'
'y+3/4,x+1/4,-z+3/4'
'-y+3/4,-x+1/4,z+3/4'
loop_
_atom_site_label
_atom_site_type_symbol
_atom_site_fract_x
_atom_site_fract_y
_atom_site_fract_z
Tl1 Tl 0.0000 0.0665 0.1661
Te1 Te 0.0000 0.2500 0.8750
I1 I 0.0000 0.0000 0.5000
# uncorrected formation energy = -3.0 eV per formula unit
# energy above the most stable polymorph in this dataset = 11.7 meV per atom
# density = 6.5 Mg/m³

Record 2
# Tl5Te2I2 PBE-GGA optimized geometry
data_Tl5Te2I2
_chemical_formula_sum 'Tl20 Te8 I8'
_cell_length_a 18.8220
_cell_length_b 8.8517
_cell_length_c 9.5757
_cell_angle_alpha 90.00
_cell_angle_beta 90.00
_cell_angle_gamma 90.00
_symmetry_space_group_name_H-M 'I m a 2'
_symmetry_Int_Tables_number 46
loop_
_symmetry_equiv_pos_as_xyz
'x,y,z'
'-x,-y,z'
'-x+1/2,y,z'
'x+1/2,-y,z'
'x+1/2,y+1/2,z+1/2'
'-x+1/2,-y+1/2,z+1/2'
'-x,y+1/2,z+1/2'
'x,-y+1/2,z+1/2'
loop_
_atom_site_label
_atom_site_type_symbol
_atom_site_fract_x
_atom_site_fract_y
_atom_site_fract_z
Tl1 Tl 0.0698 0.2176 0.0000
Tl2 Tl 0.1512 0.6096 0.1672
Tl3 Tl 0.2500 0.1173 0.2155
Te1 Te 0.0000 0.0000 0.7644
Te2 Te 0.2500 0.1131 0.9025
I1 I 0.1076 0.5505 0.8052
# DOS(E_F) = 12.78 states/eV per cell
# uncorrected formation energy = -3.0 eV per formula unit
# energy above the most stable polymorph in this dataset = 71.7 meV per atom
# density = 6.4 Mg/m³

Question: The highest energy above the most stable polymorph in this dataset belongs to which entry?
Answer: Tl5Te2I2